# 1
A plane-wave DFT calculation with GGA-PBE was carried out for crystalline K2PuTiO6 at its relaxed geometry.

## Properties
energy relative to the elements, uncorrected	-2.493	eV/atom
total magnetic moment	0.200	μB/atom

Lattice parameters (Å, degrees): 5.7732 5.7732 5.7732 60.00 60.00 60.00
Atoms (fractional coordinates):
K  0.2500  0.2500  0.2500
K  0.7500  0.7500  0.7500
Pu  0.0000  0.0000  0.0000
Ti  0.5000  0.5000  0.5000
O  0.2553  0.2553  0.7447
O  0.2553  0.7447  0.2553
O  0.2553  0.7447  0.7447
O  0.7447  0.2553  0.2553
O  0.7447  0.2553  0.7447
O  0.7447  0.7447  0.2553


# 2
A plane-wave DFT calculation with GGA-PBE was carried out for crystalline K4Pu3TlO12 at its relaxed geometry.

## Properties
energy relative to the elements, uncorrected	-2.224	eV/atom
total magnetic moment	0.250	μB/atom

Lattice parameters (Å, degrees): 7.6156 7.6156 7.6156 109.47 109.47 109.47
Atoms (fractional coordinates):
K  0.0000  0.0000  0.5000
K  0.0000  0.5000  0.0000
K  0.5000  0.0000  0.0000
K  0.5000  0.5000  0.5000
Pu  0.0000  0.5000  0.5000
Pu  0.5000  0.0000  0.5000
Pu  0.5000  0.5000  0.0000
Tl  0.0000  0.0000  0.0000
O  0.0000  0.2881  0.2881
O  0.0000  0.7119  0.7119
O  0.2500  0.5000  0.7500
O  0.2500  0.7500  0.5000
O  0.2881  0.0000  0.2881
O  0.2881  0.2881  0.0000
O  0.5000  0.2500  0.7500
O  0.5000  0.7500  0.2500
O  0.7119  0.0000  0.7119
O  0.7119  0.7119  0.0000
O  0.7500  0.2500  0.5000
O  0.7500  0.5000  0.2500


# 3
A plane-wave DFT calculation with GGA-PBE was carried out for crystalline K2PuTlO4 at its relaxed geometry.

## Properties
energy relative to the elements, uncorrected	-1.932	eV/atom
total magnetic moment	0.375	μB/atom

Lattice parameters (Å, degrees): 6.6809 3.5637 6.8281 90.00 112.86 90.00
Atoms (fractional coordinates):
K  0.0000  0.0000  0.0000
K  0.0000  0.5000  0.5000
Pu  0.5000  0.0000  0.5000
Tl  0.5000  0.5000  0.0000
O  0.3011  0.5000  0.3030
O  0.3146  0.0000  0.6671
O  0.6854  0.0000  0.3329
O  0.6989  0.5000  0.6970


# 4
A plane-wave DFT calculation with GGA-PBE was carried out for crystalline K2PuTl2O6 at its relaxed geometry.

## Properties
energy relative to the elements, uncorrected	-1.616	eV/atom
total magnetic moment	0.004	μB/atom

Lattice parameters (Å, degrees): 6.4107 6.4107 6.5118 102.24 102.24 112.65
Atoms (fractional coordinates):
K  0.1865  0.8135  0.0000
K  0.8135  0.1865  0.0000
Pu  0.0000  0.0000  0.5000
Tl  0.3424  0.6576  0.5000
Tl  0.6576  0.3424  0.5000
O  0.0444  0.3180  0.6884
O  0.1486  0.1486  0.3020
O  0.3180  0.0444  0.6884
O  0.6820  0.9556  0.3116
O  0.8514  0.8514  0.6980
O  0.9556  0.6820  0.3116


# 5
A plane-wave DFT calculation with GGA-PBE was carried out for crystalline KPu3Tl4O12 at its relaxed geometry.

## Properties
energy relative to the elements, uncorrected	-1.945	eV/atom
total magnetic moment	0.250	μB/atom

Lattice parameters (Å, degrees): 7.6406 7.6406 7.6406 109.47 109.47 109.47
Atoms (fractional coordinates):
K  0.0000  0.0000  0.0000
Pu  0.0000  0.5000  0.5000
Pu  0.5000  0.0000  0.5000
Pu  0.5000  0.5000  0.0000
Tl  0.0000  0.0000  0.5000
Tl  0.0000  0.5000  0.0000
Tl  0.5000  0.0000  0.0000
Tl  0.5000  0.5000  0.5000
O  0.0000  0.2894  0.2894
O  0.0000  0.7106  0.7106
O  0.2500  0.5000  0.7500
O  0.2500  0.7500  0.5000
O  0.2894  0.0000  0.2894
O  0.2894  0.2894  0.0000
O  0.5000  0.2500  0.7500
O  0.5000  0.7500  0.2500
O  0.7106  0.0000  0.7106
O  0.7106  0.7106  0.0000
O  0.7500  0.2500  0.5000
O  0.7500  0.5000  0.2500


# 6
A plane-wave DFT calculation with GGA-PBE was carried out for crystalline KPuTl2O8 at its relaxed geometry.

## Properties
energy relative to the elements, uncorrected	-1.245	eV/atom
total magnetic moment	0.083	μB/atom

Lattice parameters (Å, degrees): 4.1091 6.6732 6.9030 91.88 101.65 93.20
Atoms (fractional coordinates):
K  0.0000  0.0000  0.0000
Pu  0.5000  0.0000  0.5000
Tl  0.3205  0.4473  0.7032
Tl  0.6795  0.5527  0.2968
O  0.1497  0.4487  0.0017
O  0.1556  0.1418  0.3697
O  0.2482  0.6454  0.4444
O  0.4326  0.0945  0.7574
O  0.5674  0.9055  0.2426
O  0.7518  0.3546  0.5556
O  0.8444  0.8582  0.6303
O  0.8503  0.5513  0.9983


# 7
A plane-wave DFT calculation with GGA-PBE was carried out for crystalline KPuTlO6 at its relaxed geometry.

## Properties
energy relative to the elements, uncorrected	-1.522	eV/atom
total magnetic moment	0.012	μB/atom

Lattice parameters (Å, degrees): 6.0595 6.0595 5.6081 91.19 91.19 123.40
Atoms (fractional coordinates):
K  0.0000  0.0000  0.0000
Pu  0.3237  0.6763  0.5000
Tl  0.6462  0.3538  0.5000
O  0.0796  0.4595  0.2589
O  0.3065  0.3807  0.6696
O  0.3769  0.0075  0.3105
O  0.5405  0.9204  0.7411
O  0.6193  0.6935  0.3304
O  0.9925  0.6231  0.6895


# 8
A plane-wave DFT calculation with GGA-PBE was carried out for crystalline KPu2TlO8 at its relaxed geometry.

## Properties
energy relative to the elements, uncorrected	-1.771	eV/atom
total magnetic moment	0.333	μB/atom

Lattice parameters (Å, degrees): 6.0887 6.0887 7.0387 90.00 90.00 120.00
Atoms (fractional coordinates):
K  0.0000  0.0000  0.0000
Pu  0.3333  0.6667  0.4384
Pu  0.6667  0.3333  0.5616
Tl  0.0000  0.0000  0.5000
O  0.0570  0.3742  0.6250
O  0.3172  0.9430  0.6250
O  0.3333  0.6667  0.1731
O  0.3742  0.3172  0.3750
O  0.6258  0.6828  0.6250
O  0.6667  0.3333  0.8269
O  0.6828  0.0570  0.3750
O  0.9430  0.6258  0.3750